Material: BaSiCl2
Method: DFT, PBE-GGA
State: relaxed

Structure (extended XYZ):
```
16
Lattice="5.223 0.000 0.000 0.000 5.223 0.000 0.000 0.000 19.127" Properties=species:S:1:pos:R:3 pbc="T T T"
Ba 0.000 0.000 0.000
Ba 0.000 2.612 4.782
Ba 2.612 0.000 14.346
Ba 2.612 2.612 9.564
Si 0.000 0.000 9.564
Si 0.000 2.612 14.346
Si 2.612 0.000 4.782
Si 2.612 2.612 0.000
Cl 1.163 1.306 11.955
Cl 1.306 3.775 16.737
Cl 1.306 4.060 7.173
Cl 1.448 1.306 2.391
Cl 3.775 3.918 2.391
Cl 3.918 1.163 7.173
Cl 3.918 1.448 16.737
Cl 4.060 3.918 11.955
```

DOS(E_F): 0.304 states/eV per atom
Uncorrected energy: -57.42 eV for the cell shown
Formation energy (no corrections): -80 kJ/mol of atoms
Space group: No. 122

Material: Ba4SiCl3
Method: DFT, PBE-GGA
State: relaxed

Structure (extended XYZ):
```
16
Lattice="8.024 0.000 0.000 0.000 9.361 0.000 -2.699 0.000 7.693" Properties=species:S:1:pos:R:3 pbc="T T T"
Ba 1.908 1.066 0.009
Ba 0.559 8.295 3.856
Ba 0.614 3.446 3.750
Ba -0.735 5.915 7.597
Ba 6.060 3.446 0.096
Ba 4.711 5.915 3.943
Ba 4.766 1.066 3.837
Ba 3.417 8.295 7.684
Si -0.675 1.262 1.923
Si -2.024 8.099 5.770
Cl -2.024 3.531 5.770
Cl -0.675 5.830 1.923
Cl 1.988 1.311 5.770
Cl 3.337 3.559 1.923
Cl 1.988 5.802 5.770
Cl 3.337 8.050 1.923
```

DOS(E_F): 0.288 states/eV per atom
Uncorrected energy: -61.74 eV for the cell shown
Formation energy (no corrections): -147 kJ/mol of atoms
Space group: No. 13

Material: BaSiCl2
Method: DFT, PBE-GGA
State: relaxed

Structure (extended XYZ):
```
8
Lattice="13.012 0.000 0.000 0.000 4.270 0.000 -1.123 0.000 4.338" Properties=species:S:1:pos:R:3 pbc="T T T"
Ba 0.000 0.000 0.000
Ba 6.506 2.135 0.000
Si 1.862 2.135 4.200
Si 8.368 0.000 4.200
Cl 1.673 0.000 2.858
Cl 5.216 0.000 1.954
Cl 8.179 2.135 2.858
Cl 11.722 2.135 1.954
```

DOS(E_F): 0.357 states/eV per atom
Uncorrected energy: -29.91 eV for the cell shown
Formation energy (no corrections): -94 kJ/mol of atoms
Space group: No. 8